Below is CrCdSe3 after structural relaxation, with properties calculated at the PBE-GGA level.

abc: 4.8796 4.8796 4.8796
angles: 90.00 90.00 90.00
Closest atoms and distances in Å follow each position.
Element x y z (fractional)
Se  0.5000  0.0000  0.0000  2 Cr 2.44
Se  0.0000  0.0000  0.5000  2 Cr 2.44
Se  0.0000  0.5000  0.0000  2 Cr 2.44
Cr  0.0000  0.0000  0.0000  6 Se 2.44
Cd  0.5000  0.5000  0.5000  12 Se 3.45

VASP energy	-4.11	eV/atom
DOS(E_F)	1.121	states/eV per atom
SG	Pm-3m, No. 221
crystal system	cubic
formation energy (no corrections)	0.09	eV per atom